No. 1
Entry from Alexandria: an optimized crystal structure of CeZr2MnN4 (GGA-PBE).

The space group is Cmcm (No. 63) and the conventional cell measures 3.251, 11.130 and 11.115 Å, with angles of 90.00, 90.00 and 90.00 degrees. The inequivalent atoms are Ce at (0.000, 0.102, 0.250), Zr at (0.000, 0.369, 0.049), Mn at (0.000, 0.160, 0.750), N at (0.000, 0.000, 0.000), N at (0.000, 0.270, 0.619) and N at (0.000, 0.438, 0.250).

As for the formation energy from raw total energies: -1339 meV/atom. The value obtained for the total energy is -304.9 eV for the cell shown. The total magnetization is 1.9 μB/f.u. The value obtained for the density of states at the Fermi level is 4.38 states/eV/f.u.

=====

No. 2
Entry from Alexandria: an optimized crystal structure of CeZrMnN3 (GGA-PBE).

The space group is P2_1/m (No. 11) and the conventional cell measures 7.111, 3.241 and 7.138 Å, with angles of 90.00, 102.71 and 90.00 degrees. The inequivalent atoms are Ce at (0.204, 0.250, 0.184), Zr at (0.162, 0.250, 0.651), Mn at (0.411, 0.750, 0.911), N at (0.140, 0.750, 0.877), N at (0.155, 0.750, 0.426) and N at (0.488, 0.750, 0.185).

As for the formation energy from raw total energies: -1168 meV/atom. The value obtained for the total energy is -111.3 eV for the cell shown. The total magnetization is 0.0 μB/f.u. The value obtained for the density of states at the Fermi level is 2.78 states/eV/f.u.

=====

No. 3
Entry from Alexandria: an optimized crystal structure of NaCe2Mn (GGA-PBE).

The space group is R-3m (No. 166, hexagonal axes) and the conventional cell measures 3.7631, 3.7631 and 30.2102 Å, with angles of 90.00, 90.00 and 120.00 degrees. The inequivalent atoms are Na at (0.0000, 0.0000, 0.0000), Ce at (0.0000, 0.0000, 0.1190) and Mn at (0.0000, 0.0000, 0.5000).

The value obtained for the total energy is -63.4 eV for the cell shown. The value obtained for the energy of formation from the pure elements is 29.77 kJ/mol of atoms. The total magnetization is 0.0 μB/f.u. The value obtained for the density of states at the Fermi level is 5.67 states/eV/f.u.